The following is a GGA+U calculation of a relaxed MoPN2F crystal, from Alexandria.

Cell lengths 3.695, 3.695, 3.799 Å; angles 90.00, 90.00, 90.00 degrees
Atoms (fractional coordinates):
Mo 0.000 0.000 0.000
P 0.500 0.500 0.500
N 0.000 0.500 0.500
N 0.500 0.000 0.500
F 0.500 0.500 0.000

Results
symmetry: P4/mmm
magnetic moment: 3.5 Bohr magnetons per cell
mass density: 5.57 g/cm3
energy relative to the lowest polymorph listed for this composition: 0 meV/atom

The following is a GGA+U calculation of a relaxed MoPN2F crystal, from Alexandria.

Cell lengths 3.993, 3.993, 4.040 Å; angles 90.00, 90.00, 90.00 degrees
Atoms (fractional coordinates):
Mo 0.000 0.000 0.000
P 0.500 0.500 0.500
N 0.000 0.500 0.000
N 0.500 0.000 0.000
F 0.000 0.000 0.500

Results
symmetry: P4/mmm
magnetic moment: 0.0 Bohr magnetons per cell
mass density: 4.48 g/cm3
energy relative to the lowest polymorph listed for this composition: 250 meV/atom

The following is a GGA+U calculation of a relaxed MoPNF2 crystal, from Alexandria.

Cell lengths 4.543, 4.543, 3.340 Å; angles 90.00, 90.00, 90.00 degrees
Atoms (fractional coordinates):
Mo 0.000 0.000 0.000
P 0.500 0.500 0.500
N 0.500 0.500 0.000
F 0.000 0.500 0.500
F 0.500 0.000 0.500

Results
symmetry: P4/mmm
magnetic moment: 4.5 Bohr magnetons per cell
mass density: 4.31 g/cm3
energy relative to the lowest polymorph listed for this composition: 130 meV/atom

The following is a GGA+U calculation of a relaxed MoPbN2F crystal, from Alexandria.

Cell lengths 4.463, 4.463, 4.317 Å; angles 90.00, 90.00, 90.00 degrees
Atoms (fractional coordinates):
Mo 0.000 0.000 0.000
Pb 0.500 0.500 0.500
N 0.000 0.500 0.500
N 0.500 0.000 0.500
F 0.500 0.500 0.000

Results
symmetry: P4/mmm
magnetic moment: 2.8 Bohr magnetons per cell
mass density: 6.76 g/cm3
VASP energy: -4.865 eV/atom

The following is a GGA+U calculation of a relaxed MoPdNF2 crystal, from Alexandria.

Cell lengths 4.188, 4.188, 4.013 Å; angles 90.00, 90.00, 90.00 degrees
Atoms (fractional coordinates):
Mo 0.000 0.000 0.000
Pd 0.500 0.500 0.500
N 0.000 0.000 0.500
F 0.000 0.500 0.000
F 0.500 0.000 0.000

Results
symmetry: P4/mmm
magnetic moment: 1.4 Bohr magnetons per cell
mass density: 6.00 g/cm3
energy relative to the lowest polymorph listed for this composition: 0 meV/atom

The following is a GGA+U calculation of a relaxed MoPdNF2 crystal, from Alexandria.

Cell lengths 4.374, 4.374, 3.836 Å; angles 90.00, 90.00, 90.00 degrees
Atoms (fractional coordinates):
Mo 0.000 0.000 0.000
Pd 0.500 0.500 0.500
N 0.500 0.500 0.000
F 0.000 0.500 0.500
F 0.500 0.000 0.500

Results
symmetry: P4/mmm
magnetic moment: 4.1 Bohr magnetons per cell
mass density: 5.76 g/cm3
energy relative to the lowest polymorph listed for this composition: 600 meV/atom

The following is a GGA+U calculation of a relaxed RbMoNF2 crystal, from Alexandria.

Cell lengths 4.802, 4.802, 4.564 Å; angles 90.00, 90.00, 90.00 degrees
Atoms (fractional coordinates):
Rb 0.000 0.000 0.000
Mo 0.500 0.500 0.500
N 0.000 0.000 0.500
F 0.000 0.500 0.000
F 0.500 0.000 0.000

Results
symmetry: P4/mmm
magnetic moment: 5.0 Bohr magnetons per cell
mass density: 3.68 g/cm3
energy relative to the lowest polymorph listed for this composition: 1980 meV/atom

The following is a GGA+U calculation of a relaxed RbMoNF2 crystal, from Alexandria.

Cell lengths 4.429, 4.429, 4.003 Å; angles 90.00, 90.00, 90.00 degrees
Atoms (fractional coordinates):
Rb 0.000 0.000 0.000
Mo 0.500 0.500 0.500
N 0.500 0.500 0.000
F 0.000 0.500 0.500
F 0.500 0.000 0.500

Results
symmetry: P4/mmm
magnetic moment: 2.0 Bohr magnetons per cell
mass density: 4.94 g/cm3
energy relative to the lowest polymorph listed for this composition: 0 meV/atom

The following is a GGA+U calculation of a relaxed ReMoN2F crystal, from Alexandria.

Cell lengths 4.093, 4.093, 4.038 Å; angles 90.00, 90.00, 90.00 degrees
Atoms (fractional coordinates):
Re 0.000 0.000 0.000
Mo 0.500 0.500 0.500
N 0.000 0.500 0.500
N 0.500 0.000 0.500
F 0.500 0.500 0.000

Results
symmetry: P4/mmm
magnetic moment: 5.8 Bohr magnetons per cell
mass density: 8.08 g/cm3
energy relative to the lowest polymorph listed for this composition: 732 meV/atom

The following is a GGA+U calculation of a relaxed ReMoN2F crystal, from Alexandria.

Cell lengths 3.938, 3.938, 4.141 Å; angles 90.00, 90.00, 90.00 degrees
Atoms (fractional coordinates):
Re 0.000 0.000 0.000
Mo 0.500 0.500 0.500
N 0.000 0.500 0.000
N 0.500 0.000 0.000
F 0.000 0.000 0.500

Results
symmetry: P4/mmm
magnetic moment: 3.9 Bohr magnetons per cell
mass density: 8.51 g/cm3
energy relative to the lowest polymorph listed for this composition: 0 meV/atom

The following is a GGA+U calculation of a relaxed MoRhN2F crystal, from Alexandria.

Cell lengths 3.983, 3.983, 4.000 Å; angles 90.00, 90.00, 90.00 degrees
Atoms (fractional coordinates):
Mo 0.000 0.000 0.000
Rh 0.500 0.500 0.500
N 0.000 0.500 0.000
N 0.500 0.000 0.000
F 0.000 0.000 0.500

Results
symmetry: P4/mmm
magnetic moment: 1.5 Bohr magnetons per cell
mass density: 6.43 g/cm3
energy relative to the lowest polymorph listed for this composition: 0 meV/atom

The following is a GGA+U calculation of a relaxed MoRhNF2 crystal, from Alexandria.

Cell lengths 4.450, 4.450, 3.694 Å; angles 90.00, 90.00, 90.00 degrees
Atoms (fractional coordinates):
Mo 0.000 0.000 0.000
Rh 0.500 0.500 0.500
N 0.500 0.500 0.000
F 0.000 0.500 0.500
F 0.500 0.000 0.500

Results
symmetry: P4/mmm
magnetic moment: 4.6 Bohr magnetons per cell
mass density: 5.69 g/cm3
energy relative to the lowest polymorph listed for this composition: 141 meV/atom

The lowest magnetic moment belongs to which entry?
number 2

Copy entry 8 word for word.
The following is a GGA+U calculation of a relaxed RbMoNF2 crystal, from Alexandria.

Cell lengths 4.429, 4.429, 4.003 Å; angles 90.00, 90.00, 90.00 degrees
Atoms (fractional coordinates):
Rb 0.000 0.000 0.000
Mo 0.500 0.500 0.500
N 0.500 0.500 0.000
F 0.000 0.500 0.500
F 0.500 0.000 0.500

Results
symmetry: P4/mmm
magnetic moment: 2.0 Bohr magnetons per cell
mass density: 4.94 g/cm3
energy relative to the lowest polymorph listed for this composition: 0 meV/atom

Which value of mass density does entry 5 give?
6.00 g/cm3